## NaAcNiO4 (PBE with a Hubbard U)

Data for a relaxed structure of NaAcNiO4.

Cell lengths 6.732, 6.732, 6.732 Å; angles 146.52, 146.52, 48.08 degrees
Element x y z (fractional)
Na: 0.000 0.000 0.000
Ac: 0.717 0.717 0.000
Ni: 0.373 0.373 0.000
O: 0.206 0.206 0.000
O: 0.357 0.857 0.500
O: 0.525 0.525 0.000
O: 0.857 0.357 0.500

Values from the calculation:
- N(E_F): 4.0 states/eV per cell
- E: -5.693 eV/atom
- Space group: I4mm
- Density: 6.7 Mg/m³